The following is a GGA-PBE calculation of crystalline BaZnSeO at its relaxed geometry, from the Open Quantum Materials Database.

Its total energy is -4.47 eV per atom.

The structure belongs to space group P4/nmm (No. 129, origin choice 2); the cell edges are 5.2306, 5.2306 and 7.2223 Å and the angles 90.00°, 90.00° and 90.00°. The asymmetric unit holds Ba at (0.2500, 0.7500, 0.0000), Zn at (0.2500, 0.2500, 0.3760), Se at (0.2500, 0.2500, 0.6891) and O at (0.2500, 0.2500, 0.1231).